This record from Alexandria describes a relaxed structure of LaPrDy4. The functional is GGA-PBE.

Cell and atoms, written as POSCAR:
```
LaPrDy4
1.0
-2.556 -3.192 5.289
3.797 -4.251 3.494
2.012 1.610 6.169
Dy La Pr
4 1 1
direct
0.124 0.625 0.625
0.625 0.625 0.124
0.625 0.124 0.625
0.625 0.625 0.625
0.250 0.250 0.250
0.000 0.000 0.000
```

DFT formation energy ... 0.277 eV/atom
Energy above the lowest structure with this stoichiometry ... 252 meV per atom
V ... 211 Å³ per cell
Magnetization ... 0.43 μB per atom

***

This record from Alexandria describes a relaxed structure of LaPr7Dy12. The functional is GGA-PBE.

Cell and atoms, written as POSCAR:
```
LaPr7Dy12
1.0
-3.240 -7.532 3.349
6.236 -0.540 6.266
-4.942 4.173 6.051
Dy Pr La
12 7 1
direct
0.276 0.148 0.737
0.495 0.622 0.132
0.622 0.132 0.495
0.378 0.868 0.505
0.505 0.378 0.868
0.852 0.263 0.724
0.868 0.505 0.378
0.737 0.276 0.148
0.148 0.737 0.276
0.263 0.724 0.852
0.724 0.852 0.263
0.132 0.495 0.622
0.070 0.158 0.397
0.397 0.070 0.158
0.603 0.930 0.842
0.930 0.842 0.603
0.158 0.397 0.070
0.500 0.500 0.500
0.842 0.603 0.930
0.000 0.000 0.000
```

DFT formation energy ... 0.222 eV/atom
Energy above the lowest structure with this stoichiometry ... 0 meV per atom
V ... 691 Å³ per cell
Magnetization ... 0.00 μB per atom

***

This record from Alexandria describes a relaxed structure of LaPr6Dy. The functional is GGA-PBE.

Cell and atoms, written as POSCAR:
```
LaPr6Dy
1.0
5.227 0.000 0.000
0.000 5.227 0.000
0.000 0.000 10.473
Pr Dy La
6 1 1
direct
0.000 0.500 0.254
0.500 0.500 0.500
0.500 0.500 0.000
0.000 0.500 0.746
0.500 0.000 0.746
0.500 0.000 0.254
0.000 0.000 0.500
0.000 0.000 0.000
```

DFT formation energy ... 0.015 eV/atom
V ... 286 Å³ per cell
Magnetization ... 0.00 μB per atom

***

This record from Alexandria describes a relaxed structure of La3PrDy4. The functional is GGA-PBE.

Cell and atoms, written as POSCAR:
```
La3PrDy4
1.0
6.376 0.000 0.000
0.000 7.356 0.000
0.000 0.000 11.724
La Dy Pr
6 8 2
direct
0.980 0.626 0.750
0.480 0.374 0.250
0.650 0.629 0.000
0.150 0.371 0.500
0.480 0.374 0.750
0.980 0.626 0.250
0.980 0.120 0.750
0.480 0.880 0.750
0.480 0.880 0.250
0.649 0.121 0.500
0.649 0.121 0.000
0.980 0.120 0.250
0.149 0.879 0.000
0.149 0.879 0.500
0.148 0.371 0.000
0.648 0.629 0.500
```

DFT formation energy ... 0.034 eV/atom
Energy above the lowest structure with this stoichiometry ... 0 meV per atom
V ... 550 Å³ per cell
Magnetization ... 0.00 μB per atom

***

This record from Alexandria describes a relaxed structure of LaPr12Dy6. The functional is GGA-PBE.

Cell and atoms, written as POSCAR:
```
LaPr12Dy6
1.0
-8.849 -1.324 -0.281
2.636 -6.334 -5.750
1.878 -4.123 7.720
Dy Pr La
6 12 1
direct
0.663 0.099 0.099
0.099 0.099 0.663
0.901 0.901 0.337
0.901 0.337 0.901
0.099 0.663 0.099
0.337 0.901 0.901
0.918 0.648 0.648
0.241 0.759 0.500
0.082 0.352 0.352
0.352 0.352 0.082
0.759 0.500 0.241
0.648 0.918 0.648
0.241 0.500 0.759
0.759 0.241 0.500
0.500 0.241 0.759
0.352 0.082 0.352
0.500 0.759 0.241
0.648 0.648 0.918
0.000 0.000 0.000
```

DFT formation energy ... 0.183 eV/atom
Energy above the lowest structure with this stoichiometry ... 58 meV per atom
V ... 683 Å³ per cell
Magnetization ... 0.00 μB per atom

***

This record from Alexandria describes a relaxed structure of La3Pr2Dy2. The functional is GGA-PBE.

Cell and atoms, written as POSCAR:
```
La3Pr2Dy2
1.0
3.629 -0.420 0.491
-0.803 11.925 2.202
1.175 1.179 6.147
Dy La Pr
2 3 2
direct
0.286 0.714 0.143
0.714 0.286 0.857
0.574 0.430 0.284
0.000 0.000 0.000
0.426 0.570 0.716
0.141 0.856 0.575
0.859 0.144 0.425
```

DFT formation energy ... 0.020 eV/atom
Energy above the lowest structure with this stoichiometry ... 0 meV per atom
V ... 246 Å³ per cell
Magnetization ... 0.00 μB per atom